# 1
PBE LiInRhO4, relaxed; symmetry = No. 74; formation energy without anion corrections = -1.2674 eV/atom
1.0
-3.600 0.485 5.295
2.597 -0.529 5.707
0.553 4.975 3.814
In O Rh Li
2 8 2 2
direct
0.000 0.000 0.500
0.500 0.000 0.500
0.790 0.249 0.749
0.228 0.784 0.760
0.228 0.260 0.284
0.789 0.751 0.251
0.772 0.216 0.240
0.772 0.740 0.716
0.211 0.249 0.749
0.210 0.751 0.251
0.000 0.000 0.000
0.000 0.500 0.500
0.642 0.608 0.108
0.358 0.392 0.892

# 2
PBE CeLuHfPa, relaxed; formation energy from the elements = 1.20 eV/f.u.; symmetry = No. 216
1.0
-2.264 -4.743 -0.215
2.750 -4.289 1.308
-1.115 -2.586 4.443
Ce Hf Lu Pa
1 1 1 1
direct
0.500 0.500 0.500
0.000 0.000 0.000
0.250 0.250 0.250
0.750 0.750 0.750

# 3
PBE PrNdGeSe, relaxed; symmetry = No. 160; formation energy without anion corrections = -1.3929 eV/atom
1.0
-0.661 4.213 -0.482
-3.970 1.487 -0.664
-2.466 2.552 6.592
Ge Nd Pr Se
1 1 1 1
direct
0.195 0.195 0.416
0.941 0.941 0.176
0.447 0.447 0.659
0.693 0.693 0.920

# 4
PBE Zr2TaRu, relaxed; polymorph energy (0 for the lowest one) = 0.1768 eV per atom; formation energy from the elements = -0.28 eV/f.u.; symmetry = No. 65
1.0
-0.645 -2.694 1.194
1.411 1.678 2.073
-7.825 3.117 2.806
Zr Ta Ru
2 1 1
direct
0.000 0.000 0.479
0.000 0.000 0.021
0.500 0.500 0.750
0.500 0.500 0.250